(1)
Density functional theory data (PBE) for an optimized crystal structure of KNa4Pd3F12.

a b c (Å): 7.2520 7.2520 7.2520
angles (deg): 109.47 109.47 109.47
Fractional positions:
K1 0.0000 0.0000 0.0000
Na1 0.0000 0.0000 0.5000
Na2 0.0000 0.5000 0.0000
Na3 0.5000 0.0000 0.0000
Na4 0.5000 0.5000 0.5000
Pd1 0.0000 0.5000 0.5000
Pd2 0.5000 0.0000 0.5000
Pd3 0.5000 0.5000 0.0000
F1 0.1616 0.4867 0.3251
F2 0.1616 0.8365 0.6749
F3 0.1635 0.3251 0.8384
F4 0.3251 0.1616 0.4867
F5 0.3251 0.8384 0.1635
F6 0.4867 0.3251 0.1616
F7 0.5133 0.6749 0.8384
F8 0.6749 0.1616 0.8365
F9 0.6749 0.8384 0.5133
F10 0.8365 0.6749 0.1616
F11 0.8384 0.1635 0.3251
F12 0.8384 0.5133 0.6749

Final energy = -85.3 eV for the cell shown
ΔE_f (raw) = -2.0437 eV/atom
Magnetization = 1.12 μB per cell

(2)
Density functional theory data (PBE) for an optimized crystal structure of KNaPd2F8.

a b c (Å): 6.3495 6.3495 6.3495
angles (deg): 122.80 122.80 85.22
Fractional positions:
K1 0.0000 0.0000 0.0000
Na1 0.2500 0.7500 0.5000
Pd1 0.5000 0.5000 0.0000
Pd2 0.7500 0.2500 0.5000
F1 0.0463 0.1223 0.6779
F2 0.1984 0.4392 0.6139
F3 0.4155 0.8016 0.2408
F4 0.4444 0.3684 0.3221
F5 0.5608 0.1747 0.7592
F6 0.6316 0.9537 0.0760
F7 0.8253 0.5845 0.3861
F8 0.8777 0.5556 0.9240

Final energy = -48.4 eV for the cell shown
ΔE_f (raw) = -1.7221 eV/atom
Magnetization = 2.05 μB per cell

(3)
Density functional theory data (PBE) for an optimized crystal structure of KNa2PdF.

a b c (Å): 4.7133 4.7133 5.1218
angles (deg): 90.00 90.00 90.00
Fractional positions:
K1 0.0000 0.0000 0.0000
Na1 0.0000 0.5000 0.5000
Na2 0.5000 0.0000 0.5000
Pd1 0.5000 0.5000 0.0000
F1 0.0000 0.0000 0.5000

Final energy = -15.7 eV for the cell shown
ΔE_f (raw) = -0.9853 eV/atom
Magnetization = 0.00 μB per cell

(4)
Density functional theory data (PBE) for an optimized crystal structure of KNa2PdF6.

a b c (Å): 6.3386 6.3386 6.3386
angles (deg): 60.00 60.00 60.00
Fractional positions:
K1 0.0000 0.0000 0.0000
Na1 0.2500 0.2500 0.2500
Na2 0.7500 0.7500 0.7500
Pd1 0.5000 0.5000 0.5000
F1 0.2723 0.2723 0.7277
F2 0.2723 0.7277 0.2723
F3 0.2723 0.7277 0.7277
F4 0.7277 0.2723 0.2723
F5 0.7277 0.2723 0.7277
F6 0.7277 0.7277 0.2723

Final energy = -40.3 eV for the cell shown
ΔE_f (raw) = -2.0122 eV/atom
Magnetization = 1.00 μB per cell

(5)
Density functional theory data (PBE) for an optimized crystal structure of KNaPmF5.

a b c (Å): 6.5535 6.5535 8.4692
angles (deg): 100.59 100.59 111.85
Fractional positions:
K1 0.1546 0.8454 0.7500
K2 0.8454 0.1546 0.2500
Na1 0.1815 0.8185 0.2500
Na2 0.8185 0.1815 0.7500
Pm1 0.5000 0.5000 0.0000
Pm2 0.5000 0.5000 0.5000
F1 0.1334 0.2429 0.9358
F2 0.2007 0.5655 0.3825
F3 0.2429 0.1334 0.4358
F4 0.4158 0.5842 0.7500
F5 0.4345 0.7993 0.1175
F6 0.5655 0.2007 0.8825
F7 0.5842 0.4158 0.2500
F8 0.7571 0.8666 0.5642
F9 0.7993 0.4345 0.6175
F10 0.8666 0.7571 0.0642

Final energy = -87.3 eV for the cell shown
ΔE_f (raw) = -3.3937 eV/atom
Magnetization = 0.44 μB per cell

(6)
Density functional theory data (PBE) for an optimized crystal structure of KNa2PmF6.

a b c (Å): 6.3899 6.3899 6.3899
angles (deg): 56.80 56.80 56.80
Fractional positions:
K1 0.0000 0.0000 0.0000
Na1 0.2776 0.2776 0.2776
Na2 0.7851 0.7851 0.7851
Pm1 0.4881 0.4881 0.4881
F1 0.0943 0.6318 0.4402
F2 0.1952 0.5583 0.8790
F3 0.4402 0.0943 0.6318
F4 0.5583 0.8790 0.1952
F5 0.6318 0.4402 0.0943
F6 0.8790 0.1952 0.5583

Final energy = -52.5 eV for the cell shown
ΔE_f (raw) = -3.2756 eV/atom
Magnetization = 0.26 μB per cell